1.
# GGA-PBE CaAgN2, relaxed
data_CaAgN2
_cell_length_a 3.6860
_cell_length_b 3.6860
_cell_length_c 19.1374
_cell_angle_alpha 90.00
_cell_angle_beta 90.00
_cell_angle_gamma 120.00
_symmetry_space_group_name_H-M 'R -3 m'
_symmetry_Int_Tables_number 166
_symmetry_space_group_name_Hall '-R 3 2"'
loop_
_atom_site_label
_atom_site_fract_x
_atom_site_fract_y
_atom_site_fract_z
_atom_site_occupancy
Ca1 0.0000 0.0000 0.0000 1
Ag1 0.0000 0.0000 0.5000 1
N1 0.0000 0.0000 0.3956 1
# **Excess energy over the best structure of this formula in the dataset**: 43 meV/atom

=====

2.
Below is a relaxed structure of Ca12Ag3N5, with properties calculated at the GGA-PBE level.

Structure (CIF):
```
data_Ca12Ag3N5
_cell_length_a 15.852
_cell_length_b 15.852
_cell_length_c 15.852
_cell_angle_alpha 90.00
_cell_angle_beta 90.00
_cell_angle_gamma 90.00
_symmetry_space_group_name_H-M 'I a -3 d'
_symmetry_Int_Tables_number 230
_symmetry_space_group_name_Hall '-I 4bd 2c 3'
loop_
_atom_site_label
_atom_site_fract_x
_atom_site_fract_y
_atom_site_fract_z
_atom_site_occupancy
Ca1 0.035 0.046 0.648 1
Ag1 0.000 0.250 0.125 1
N1 0.000 0.000 0.000 1
N2 0.000 0.250 0.375 1
```

=====

One value per record, in order, for Fermi-level density of states: 2.97; 11.17 states/eV/f.u..
One value per record, in order, for raw formation energy: 798; -496 meV/atom.